Er8Ir2Ru: optimized geometry, PBE.

Lattice parameters (Å, degrees): 5.748 7.495 7.495 112.87 100.25 100.25
Fractional positions:
Er: 0.178 0.362 0.362
Er: 0.389 0.672 0.927
Er: 0.389 0.927 0.672
Er: 0.582 0.334 0.080
Er: 0.807 0.644 0.644
Er: 0.582 0.080 0.334
Er: 0.991 0.214 0.785
Er: 0.991 0.785 0.214
Ir: 0.495 0.317 0.695
Ir: 0.495 0.695 0.317
Ru: 0.100 0.002 0.002

## Properties
distance to the lowest polymorph of the same formula	64	meV/atom
crystal system	monoclinic
calculated total energy	-68.3	eV/cell

=====

PSe2Br: optimized geometry, PBE.

Lattice parameters (Å, degrees): 3.774 5.161 5.234 74.63 90.00 90.00
Fractional positions:
Se: 0.000 0.134 0.151
Se: 0.000 0.866 0.849
P: 0.500 0.500 0.000
Br: 0.500 0.500 0.500

## Properties
ΔE_f (raw)	0.041	eV/atom
distance to the lowest polymorph of the same formula	60	meV/atom
crystal system	monoclinic
calculated total energy	-13.9	eV/cell

=====

RbHfAl2Sn: optimized geometry, PBE.

Lattice parameters (Å, degrees): 5.235 5.664 5.235 90.00 90.00 90.00
Fractional positions:
Rb: 0.000 0.000 0.000
Hf: 0.500 0.500 0.500
Sn: 0.000 0.500 0.000
Al: 0.000 0.000 0.500
Al: 0.500 0.000 0.000

## Properties
crystal system	tetragonal
calculated total energy	-13.0	eV/cell

=====

Ce6SnGe2: optimized geometry, PBE.

Lattice parameters (Å, degrees): 3.105 8.845 8.845 120.00 90.00 90.00
Each line ends with the local moment (μB).
Fractional positions:
Sn: 0.000 0.000 0.000  -0.01
Ce: 0.500 0.344 0.000  0.37
Ce: 0.500 0.000 0.344  0.37
Ce: 0.500 0.000 0.656  0.37
Ce: 0.500 0.656 0.000  0.37
Ce: 0.500 0.656 0.656  0.37
Ce: 0.500 0.344 0.344  0.37
Ge: 0.000 0.333 0.667  -0.01
Ge: 0.000 0.667 0.333  -0.01

## Properties
distance to the lowest polymorph of the same formula	171	meV/atom
crystal system	hexagonal
calculated total energy	-51.8	eV/cell